Here is an optimized crystal structure of SiSbSe from the Alexandria database. Energies are from GGA-PBE.

Computed properties:
- DOS at the Fermi energy: 0.97 states/eV/f.u.
- Magnetic moment: 0.000 μB/atom
- Energy: -12.91 eV per cell
- Formation energy from raw total energies: 0.0392 eV per atom

Unit cell a=3.4993 b=3.4993 c=7.0645 alpha=90.00 beta=90.00 gamma=120.00
Sites, in units of the cell vectors:
Sb 0.0000 0.0000 0.9214
Se 0.6667 0.3333 0.4387
Si 0.3333 0.6667 0.6400


Here is an optimized crystal structure of SiSbSe2 from the Alexandria database. Energies are from GGA-PBE.

Computed properties:
- DOS at the Fermi energy: 1.46 states/eV/f.u.
- Magnetic moment: 0.000 μB/atom
- Energy: -15.96 eV per cell
- Formation energy from raw total energies: 0.1393 eV per atom

Unit cell a=4.9840 b=4.9840 c=4.9761 alpha=69.58 beta=69.58 gamma=107.47
Sites, in units of the cell vectors:
Sb 0.0000 0.5000 0.5000
Se 0.0000 0.0000 0.0000
Se 0.5000 0.5000 0.0000
Si 0.5000 0.0000 0.5000


Here is an optimized crystal structure of Si2SbSe from the Alexandria database. Energies are from GGA-PBE.

Computed properties:
- DOS at the Fermi energy: 1.69 states/eV/f.u.
- Magnetic moment: 0.000 μB/atom
- Energy: -16.43 eV per cell
- Formation energy from raw total energies: 0.5055 eV per atom

Unit cell a=3.4364 b=3.4364 c=7.6059 alpha=90.00 beta=90.00 gamma=110.50
Sites, in units of the cell vectors:
Sb 0.5000 0.5000 0.2500
Se 0.5000 0.5000 0.7500
Si 0.0000 0.0000 0.9813
Si 0.0000 0.0000 0.5187